DFT (PBE) results for a relaxed Mn2AlRu crystal.

Lattice parameters (Å, degrees): 5.973 4.491 2.756 89.97 62.57 121.59
Each line ends with the local moment (μB).
Fractional positions:
Ru  0.000  0.500  0.500  0.05
Mn  0.000  0.000  0.000  2.45
Mn  0.500  0.000  0.500  2.45
Al  0.500  0.500  0.000  -0.06

## Properties
crystal system = orthorhombic
electronic total energy = -31.79 eV for the cell shown
formation energy = -0.11 eV per atom